1.
# CaCuH8Ir2

A relaxed structure of CaCuH8Ir2 (PBE-GGA, the Alexandria database).

Cell lengths 4.623, 4.623, 6.339 Å; angles 68.61, 68.61, 60.00 degrees
Sites, in units of the cell vectors:
Ca 0.500 0.500 0.500
Cu 0.000 0.000 0.000
H 0.193 0.193 0.420
H 0.630 0.260 0.186
H 0.807 0.807 0.580
H 0.924 0.630 0.186
H 0.076 0.370 0.814
H 0.260 0.924 0.186
H 0.740 0.076 0.814
H 0.370 0.740 0.814
Ir 0.287 0.287 0.139
Ir 0.713 0.713 0.861

Results
Electronic total energy   -4.325 eV/atom
Symmetry   R-3, No. 148

---

2.
# Ho8Mg2Sc

A relaxed structure of Ho8Mg2Sc (PBE-GGA, the Alexandria database).

Cell lengths 4.942, 7.800, 9.041 Å; angles 106.29, 105.86, 90.00 degrees
Sites, in units of the cell vectors:
Ho 0.591 0.451 0.183
Ho 0.319 0.078 0.638
Ho 0.137 0.189 0.275
Ho 0.047 0.731 0.093
Ho 0.863 0.811 0.725
Ho 0.681 0.922 0.362
Ho 0.409 0.549 0.817
Ho 0.953 0.269 0.907
Mg 0.227 0.635 0.454
Mg 0.773 0.365 0.546
Sc 0.500 0.000 0.000

Results
Electronic total energy   -4.170 eV/atom
E_form   0.02 eV per atom
Energy above the lowest structure with this stoichiometry   0 meV per atom
Symmetry   C2/m, No. 12

---

3.
# LiZn2GaS4

A relaxed structure of LiZn2GaS4 (PBE-GGA, the Alexandria database).

Cell lengths 5.507, 5.507, 6.610 Å; angles 114.61, 114.61, 90.01 degrees
Sites, in units of the cell vectors:
Li 0.000 0.000 0.000
Zn 0.750 0.250 0.500
Zn 0.250 0.750 0.500
Ga 0.500 0.500 0.000
S 0.617 0.617 0.751
S 0.383 0.866 0.250
S 0.866 0.383 0.250
S 0.134 0.134 0.751

Results
Electronic total energy   -3.916 eV/atom
Formation energy (no corrections)   -707 kJ/mol of formula units
Symmetry   I-42m, No. 121

---

4.
# Rb8I3Br4

A relaxed structure of Rb8I3Br4 (PBE-GGA, the Alexandria database).

Cell lengths 10.221, 10.243, 10.243 Å; angles 90.06, 119.88, 119.88 degrees
Sites, in units of the cell vectors:
Rb 0.488 0.238 0.238
Rb 0.000 0.755 0.245
Rb 0.990 0.241 0.241
Rb 0.500 0.756 0.244
Rb 0.500 0.244 0.756
Rb 0.010 0.759 0.759
Rb 0.000 0.245 0.755
Rb 0.512 0.762 0.762
I 0.500 0.500 0.000
I 0.500 0.000 0.500
I 0.500 0.500 0.500
Br 0.500 0.000 0.000
Br 0.000 0.500 0.000
Br 0.000 0.000 0.000
Br 0.000 0.000 0.500

Results
Electronic total energy   -2.769 eV/atom
Formation energy (no corrections)   -2167 kJ/mol of formula units
Symmetry   C2/m, No. 12

---

5.
# Mn3Be8Al

A relaxed structure of Mn3Be8Al (PBE-GGA, the Alexandria database).

Cell lengths 4.213, 4.213, 6.859 Å; angles 90.00, 90.00, 120.00 degrees
Sites, in units of the cell vectors:
Mn 0.667 0.333 0.425
Mn 0.667 0.333 0.067
Mn 0.000 0.000 0.949
Be 0.333 0.667 0.496
Be 0.333 0.667 0.996
Be 0.504 0.008 0.755
Be 0.504 0.496 0.755
Be 0.992 0.496 0.755
Be 0.164 0.329 0.246
Be 0.164 0.836 0.246
Be 0.671 0.836 0.246
Al 0.000 0.000 0.566

Results
Electronic total energy   -5.320 eV/atom
E_form   -0.23 eV per atom
Symmetry   P3m1, No. 156

---

6.
# AcPF

A relaxed structure of AcPF (PBE-GGA, the Alexandria database).

Cell lengths 4.268, 5.463, 7.411 Å; angles 109.15, 90.00, 113.00 degrees
Sites, in units of the cell vectors:
Ac 0.810 0.620 0.769
Ac 0.190 0.380 0.231
P 0.446 0.892 0.107
P 0.554 0.108 0.893
F 0.797 0.594 0.416
F 0.203 0.406 0.584

Results
Electronic total energy   -6.271 eV/atom
Energy above the lowest structure with this stoichiometry   11 meV per atom
Formation energy (no corrections)   -716 kJ/mol of formula units
Symmetry   C2/m, No. 12

---

7.
# TaOsSe2

A relaxed structure of TaOsSe2 (PBE-GGA, the Alexandria database).

Cell lengths 5.592, 5.592, 5.592 Å; angles 147.41, 134.22, 57.32 degrees
Sites, in units of the cell vectors:
Os 0.240 0.740 0.500
Se 0.027 0.027 0.000
Se 0.748 0.248 0.500
Ta 0.485 0.485 0.000

Results
Electronic total energy   -7.254 eV/atom
Energy above the lowest structure with this stoichiometry   418 meV per atom
Formation energy (no corrections)   100 kJ/mol of formula units
Symmetry   Imm2, No. 44

---

8.
# Na2BiPPd6

A relaxed structure of Na2BiPPd6 (PBE-GGA, the Alexandria database).

Cell lengths 5.966, 7.848, 8.961 Å; angles 90.00, 90.00, 90.00 degrees
Sites, in units of the cell vectors:
Na 0.500 0.722 0.286
Na 0.000 0.278 0.786
Na 0.500 0.722 0.714
Na 0.000 0.278 0.214
Bi 0.000 0.693 0.500
Bi 0.500 0.307 0.000
P 0.500 0.204 0.500
P 0.000 0.796 0.000
Pd 0.500 0.114 0.256
Pd 0.500 0.114 0.744
Pd 0.000 0.886 0.244
Pd 0.000 0.886 0.756
Pd 0.229 0.002 0.500
Pd 0.771 0.002 0.500
Pd 0.231 0.400 0.500
Pd 0.769 0.400 0.500
Pd 0.731 0.600 0.000
Pd 0.269 0.600 0.000
Pd 0.271 0.998 0.000
Pd 0.729 0.998 0.000

Results
Electronic total energy   -4.589 eV/atom
E_form   -0.28 eV per atom
Symmetry   Pmmn, No. 59

---

9.
# Li3In3Hg2Au

A relaxed structure of Li3In3Hg2Au (PBE-GGA, the Alexandria database).

Cell lengths 3.293, 8.125, 8.125 Å; angles 120.00, 90.00, 90.00 degrees
Sites, in units of the cell vectors:
Li 0.000 0.631 0.631
Li 0.000 0.000 0.369
Li 0.000 0.369 0.000
In 0.500 0.710 0.000
In 0.500 0.000 0.710
In 0.500 0.290 0.290
Hg 0.500 0.667 0.333
Hg 0.500 0.333 0.667
Au 0.000 0.000 0.000

Results
Electronic total energy   -2.293 eV/atom
E_form   -0.31 eV per atom
Symmetry   P-62m, No. 189

---

10.
# Ac6BiOs2

A relaxed structure of Ac6BiOs2 (PBE-GGA, the Alexandria database).

Cell lengths 6.830, 10.287, 10.287 Å; angles 65.35, 78.79, 78.79 degrees
Sites, in units of the cell vectors:
Ac 0.319 0.682 0.545
Ac 0.181 0.455 0.318
Ac 0.681 0.318 0.455
Ac 0.819 0.545 0.682
Ac 0.784 0.947 0.443
Ac 0.716 0.557 0.053
Ac 0.216 0.053 0.557
Ac 0.284 0.443 0.947
Ac 0.165 0.815 0.964
Ac 0.335 0.036 0.185
Ac 0.835 0.185 0.036
Ac 0.665 0.964 0.815
Bi 0.250 0.268 0.732
Bi 0.750 0.732 0.268
Os 0.993 0.749 0.755
Os 0.507 0.245 0.251
Os 0.007 0.251 0.245
Os 0.493 0.755 0.749

Results
Electronic total energy   -5.840 eV/atom
E_form   -0.17 eV per atom
Symmetry   C2/c, No. 15

---

11.
# Ac2BeSi3Au4

A relaxed structure of Ac2BeSi3Au4 (PBE-GGA, the Alexandria database).

Cell lengths 4.444, 4.444, 10.342 Å; angles 90.00, 90.00, 90.00 degrees
Sites, in units of the cell vectors:
Ac 0.500 0.000 0.253
Ac 0.000 0.500 0.747
Be 0.500 0.500 0.500
Si 0.000 0.000 0.500
Si 0.500 0.000 0.863
Si 0.000 0.500 0.137
Au 0.500 0.500 0.000
Au 0.000 0.000 0.000
Au 0.500 0.000 0.614
Au 0.000 0.500 0.386

Results
Electronic total energy   -4.704 eV/atom
Formation energy (no corrections)   -552 kJ/mol of formula units
Symmetry   P-4m2, No. 115

---

12.
# Al2InGaAu

A relaxed structure of Al2InGaAu (PBE-GGA, the Alexandria database).

Cell lengths 5.240, 5.194, 5.240 Å; angles 90.00, 90.00, 90.00 degrees
Sites, in units of the cell vectors:
Au 0.500 0.500 0.500
Al 0.000 0.000 0.500
Al 0.500 0.000 0.000
Ga 0.000 0.500 0.000
In 0.000 0.000 0.000

Results
Electronic total energy   -2.531 eV/atom
E_form   0.77 eV per atom
Symmetry   P4/mmm, No. 123